Entry 1:
# CaP2F PBE relaxed
# N(E_F), states/eV/cell: 4.13
# Formation energy (no corrections), eV/f.u.: -5.85
data_CaP2F
_chemical_formula_sum 'Ca4 P8 F4'
_cell_length_a 3.378
_cell_length_b 3.378
_cell_length_c 23.198
_cell_angle_alpha 90.00
_cell_angle_beta 90.00
_cell_angle_gamma 90.00
_space_group_name_H-M_alt 'I -4 2 d'
_space_group_IT_number 122
_space_group_name_Hall 'I -4 2bw'
loop_
_atom_site_label
_atom_site_fract_x
_atom_site_fract_y
_atom_site_fract_z
_atom_site_occupancy
Ca1 0.000 0.000 0.000 1
P1 0.246 0.750 0.625 1
F1 0.000 0.000 0.500 1

Entry 2:
# Cs4Pm3NdTe8 PBE relaxed
# Formation energy (no corrections), eV/f.u.: -22.60
data_Cs4Pm3NdTe8
_chemical_formula_sum 'Cs12 Pm9 Nd3 Te24'
_cell_length_a 9.3171
_cell_length_b 9.3171
_cell_length_c 26.8338
_cell_angle_alpha 90.00
_cell_angle_beta 90.00
_cell_angle_gamma 120.00
_space_group_name_H-M_alt 'R -3 m'
_space_group_IT_number 166
_space_group_name_Hall '-R 3 2"'
loop_
_atom_site_label
_atom_site_fract_x
_atom_site_fract_y
_atom_site_fract_z
_atom_site_occupancy
Cs1 0.0000 0.0000 0.0000 1
Cs2 0.0000 0.5000 0.0000 1
Pm1 0.0000 0.5000 0.5000 1
Nd1 0.0000 0.0000 0.5000 1
Te1 0.0000 0.0000 0.2312 1
Te2 0.0014 0.5007 0.7686 1